# YCdPt2

A relaxed YCdPt2 crystal (PBE, Alexandria via LeMat-Bulk).

a b c (Å): 4.6203 4.6203 3.6542
angles (deg): 90.00 90.00 90.07
Sites, in units of the cell vectors:
Y (0.0000, 0.0000, 0.0000)
Cd (0.5000, 0.5000, 0.0000)
Pt (0.0000, 0.5000, 0.5000)
Pt (0.5000, 0.0000, 0.5000)

Fermi-level density of states	0.262	states/eV per atom
V	19.5	Å³ per atom
VASP energy	-0.4156	Ry/atom
total magnetization	0.00	μB/atom